4
Lattice="0.0000 3.6123 3.6123 3.6123 0.0000 3.6123 3.6123 3.6123 0.0000" Properties=species:S:1:pos:R:3 comment="Ho2AlAu PBE relaxed" m_tot_mub_per_fu=0.00 ef_ev_per_atom=-0.58 dos_at_fermi_per_ev_cell=2.5 pbc="T T T"
Ho 1.8062 1.8062 1.8062
Ho 5.4185 5.4185 5.4185
Al 0.0000 0.0000 0.0000
Au 3.6123 3.6123 3.6123